Record 1
The following is a DFT calculation (PBE) of an optimized crystal structure of NiBCl3.

The value obtained for the energy above the most stable polymorph in this dataset is 92 meV per atom.

The structure belongs to space group Pm-3m (No. 221); the cell edges are 4.374, 4.374 and 4.374 Å and the angles 90.00°, 90.00° and 90.00°. The inequivalent atoms are Ni at (0.000, 0.000, 0.000), B at (0.500, 0.500, 0.500) and Cl at (0.000, 0.500, 0.500).

Record 2
The following is a DFT calculation (PBE) of an optimized crystal structure of Ni2BCl2.

The value obtained for the energy above the most stable polymorph in this dataset is 0 meV per atom.

The structure belongs to space group I4/mmm (No. 139); the cell edges are 3.420, 3.420 and 13.645 Å and the angles 90.00°, 90.00° and 90.00°. The inequivalent atoms are Ni at (0.000, 0.500, 0.250), B at (0.000, 0.000, 0.000) and Cl at (0.000, 0.000, 0.375).

What did the first record say?
The following is a DFT calculation (PBE) of an optimized crystal structure of NiBCl3.

The value obtained for the energy above the most stable polymorph in this dataset is 92 meV per atom.

The structure belongs to space group Pm-3m (No. 221); the cell edges are 4.374, 4.374 and 4.374 Å and the angles 90.00°, 90.00° and 90.00°. The inequivalent atoms are Ni at (0.000, 0.000, 0.000), B at (0.500, 0.500, 0.500) and Cl at (0.000, 0.500, 0.500).